KSrNdWO6 (PBE with a Hubbard U, optimized geometry); ρ = 5.84 Mg/m³; crystal system = cubic; energy = -0.258 Ha/atom
1.0
0.0000 4.2794 4.2794
4.2794 0.0000 4.2794
4.2794 4.2794 0.0000
K Sr Nd W O
1 1 1 1 6
Direct
0.0000 0.0000 0.0000
0.5000 0.5000 0.5000
0.7500 0.7500 0.7500
0.2500 0.2500 0.2500
0.0217 0.0217 0.4783
0.0217 0.4783 0.0217
0.0217 0.4783 0.4783
0.4783 0.0217 0.0217
0.4783 0.0217 0.4783
0.4783 0.4783 0.0217